Here is a geometry-optimized FePPd2Rh structure from the Alexandria database. Energies are from GGA-PBE.

The density of states at the Fermi level is 1.56 states/eV/atom. The energy of formation from the pure elements is 0.2184 eV/atom. For the calculated density, the calculation gives 7.754 g/cm3. The calculation puts the total magnetization at 3.52 μB per formula unit.

It has space group P4/mmm (No. 123), with a = 4.456 Å, b = 4.456 Å, c = 4.343 Å, α = 90.00°, β = 90.00° and γ = 90.00°. The distinct sites, in fractional coordinates, are Fe at (0.000, 0.000, 0.000), P at (0.500, 0.500, 0.500), Pd at (0.000, 0.500, 0.500) and Rh at (0.500, 0.500, 0.000).